# Y2W2Se | the Alexandria database | PBE | relaxed
# * energy relative to the elements, uncorrected: 449 meV/atom
# * energy above the lowest structure with this stoichiometry: 63.1 kJ per mole of atoms
data_Y2W2Se
_chemical_formula_sum 'Y4 W4 Se2'
_space_group_name_H-M_alt 'P 4/m b m'
_space_group_IT_number 127
_space_group_name_Hall '-P 4 2ab'
_cell_length_a 7.6104
_cell_length_b 7.6104
_cell_length_c 4.4126
_cell_angle_alpha 90.00
_cell_angle_beta 90.00
_cell_angle_gamma 90.00
loop_
_atom_site_label
_atom_site_type_symbol
_atom_site_fract_x
_atom_site_fract_y
_atom_site_fract_z
_atom_site_occupancy
Y1 Y 0.1703 0.3297 0.0000 1
W1 W 0.1041 0.6041 0.5000 1
Se1 Se 0.0000 0.0000 0.0000 1